# Ac14ErMg PBE optimized geometry
data_Ac14ErMg
_cell_length_a 11.155
_cell_length_b 11.075
_cell_length_c 11.077
_cell_angle_alpha 90.00
_cell_angle_beta 90.00
_cell_angle_gamma 90.00
_symmetry_space_group_name_H-M 'A m m 2'
_symmetry_Int_Tables_number 38
loop_
_symmetry_equiv_pos_as_xyz
'x,y,z'
'-x,-y,z'
'-x,y,z'
'x,-y,z'
'x,y+1/2,z+1/2'
'-x,-y+1/2,z+1/2'
'-x,y+1/2,z+1/2'
'x,-y+1/2,z+1/2'
loop_
_atom_site_label
_atom_site_fract_x
_atom_site_fract_y
_atom_site_fract_z
Ac1 0.000 0.000 0.000
Ac2 0.000 0.000 0.499
Ac3 0.000 0.249 0.249
Ac4 0.255 0.000 0.750
Ac5 0.257 0.249 0.999
Ac6 0.259 0.000 0.249
Ac7 0.500 0.247 0.749
Er1 0.500 0.000 0.999
Mg1 0.500 0.000 0.500
# Energy of formation   0.02 eV per atom
# Crystal system   orthorhombic